Entry 1:
Density functional theory data (PBE) for Mg2GeAuBr after structural relaxation.

As for the formation energy from raw total energies: 0.100 eV/atom.

The structure belongs to space group P4/mmm (No. 123); the cell edges are 5.1523, 5.1523 and 5.2405 Å and the angles 90.00°, 90.00° and 90.00°. The inequivalent atoms are Mg at (0.0000, 0.5000, 0.0000), Ge at (0.0000, 0.0000, 0.0000), Au at (0.5000, 0.5000, 0.5000) and Br at (0.0000, 0.0000, 0.5000).

---

Entry 2:
Density functional theory data (PBE) for LiBe2Cd after structural relaxation.

For the formation energy, the calculation gives 4.21 kcal/mol of atoms.

The structure belongs to space group P4mm (No. 99); the cell edges are 2.8586, 2.8586 and 6.4103 Å and the angles 90.00°, 90.00° and 90.00°. The inequivalent atoms are Li at (0.0000, 0.0000, 0.0000), Be at (0.0000, 0.0000, 0.3879), Be at (0.5000, 0.5000, 0.2523) and Cd at (0.5000, 0.5000, 0.6836).

---

Entry 3:
Density functional theory data (PBE) for Pr2CrGe4Pt3 after structural relaxation.

For the formation energy, the calculation gives -18.62 kcal/mol of atoms.

The structure belongs to space group P-4m2 (No. 115); the cell edges are 4.2715, 4.2715 and 10.6115 Å and the angles 90.00°, 90.00° and 90.00°. The inequivalent atoms are Pr at (0.0000, 0.5000, 0.2472), Cr at (0.0000, 0.0000, 0.5000), Ge at (0.0000, 0.0000, 0.0000), Ge at (0.0000, 0.5000, 0.6340), Ge at (0.5000, 0.5000, 0.0000), Pt at (0.0000, 0.5000, 0.8708) and Pt at (0.5000, 0.5000, 0.5000).

---

Entry 4:
Density functional theory data (PBE) for KSc2Cd after structural relaxation.

For the formation energy, the calculation gives 12.97 kcal/mol of atoms.

The structure belongs to space group R-3m (No. 166, hexagonal axes); the cell edges are 3.2790, 3.2790 and 38.8011 Å and the angles 90.00°, 90.00° and 120.00°. The inequivalent atoms are K at (0.0000, 0.0000, 0.0000), Sc at (0.0000, 0.0000, 0.4213) and Cd at (0.0000, 0.0000, 0.5000).

---

Entry 5:
Density functional theory data (PBE) for Sr6PtRh2 after structural relaxation.

For the formation energy, the calculation gives -7.48 kcal/mol of atoms.

The structure belongs to space group P-31m (No. 162); the cell edges are 7.3625, 7.3625 and 7.0173 Å and the angles 90.00°, 90.00° and 120.00°. The inequivalent atoms are Sr at (0.0000, 0.3358, 0.2412), Pt at (0.0000, 0.0000, 0.5000) and Rh at (0.3333, 0.6667, 0.0000).

---

Entry 6:
Density functional theory data (PBE) for MgInCl2 after structural relaxation.

As for the formation energy from raw total energies: -1.013 eV/atom.

The structure belongs to space group Immm (No. 71); the cell edges are 3.4453, 6.5565 and 9.9203 Å and the angles 90.00°, 90.00° and 90.00°. The inequivalent atoms are Mg at (0.0000, 0.0000, 0.0000), In at (0.0000, 0.0000, 0.5000) and Cl at (0.0000, 0.5000, 0.3278).

---

Entry 7:
Density functional theory data (PBE) for KOsPb2 after structural relaxation.

For the formation energy, the calculation gives 13.79 kcal/mol of atoms.

The structure belongs to space group Immm (No. 71); the cell edges are 3.2137, 6.3164 and 11.5024 Å and the angles 90.00°, 90.00° and 90.00°. The inequivalent atoms are K at (0.0000, 0.0000, 0.0000), Os at (0.0000, 0.0000, 0.5000) and Pb at (0.0000, 0.5000, 0.1945).

---

Entry 8:
Density functional theory data (PBE) for Tl2Pb2Au after structural relaxation.

For the formation energy, the calculation gives 0.81 kcal/mol of atoms.

The structure belongs to space group I4_1/amd (No. 141, origin choice 2); the cell edges are 4.9187, 4.9187 and 24.6587 Å and the angles 90.00°, 90.00° and 90.00°. The inequivalent atoms are Tl at (0.0000, 0.2500, 0.0498), Pb at (0.0000, 0.2500, 0.1973) and Au at (0.0000, 0.2500, 0.3750).

---

Entry 9:
Density functional theory data (PBE) for La7NdHo2 after structural relaxation.

For the formation energy, the calculation gives 13.63 kcal/mol of atoms.

The structure belongs to space group Cmmm (No. 65); the cell edges are 9.0821, 16.1909 and 5.8449 Å and the angles 90.00°, 90.00° and 90.00°. The inequivalent atoms are La at (0.0000, 0.0000, 0.0000), La at (0.0000, 0.2621, 0.5000), La at (0.1822, 0.3837, 0.0000), Nd at (0.0000, 0.5000, 0.5000) and Ho at (0.0000, 0.2035, 0.0000).

---

Entry 10:
Density functional theory data (PBE) for LaOsRh after structural relaxation.

For the formation energy, the calculation gives 4.20 kcal/mol of atoms.

The structure belongs to space group Amm2 (No. 38); the cell edges are 9.9055, 4.8971 and 4.9009 Å and the angles 90.00°, 90.00° and 90.00°. The inequivalent atoms are La at (0.1827, 0.0000, 0.0000), Os at (0.0000, 0.0000, 0.4998), Os at (0.5000, 0.0000, 0.0012) and Rh at (0.3717, 0.0000, 0.5009).

---

Entry 11:
Density functional theory data (PBE) for TmPN2 after structural relaxation.

As for the formation energy from raw total energies: -0.863 eV/atom.

The structure belongs to space group P1 (No. 1); the cell edges are 3.6970, 5.4581 and 6.4260 Å and the angles 111.41°, 98.43° and 98.61°. The inequivalent atoms are Tm at (0.0000, 0.0000, 0.0000), Tm at (0.3603, 0.9919, 0.5205), P at (0.6642, 0.5427, 0.0890), P at (0.6879, 0.4847, 0.4150), N at (0.2626, 0.3190, 0.3937), N at (0.4627, 0.7931, 0.1093), N at (0.5136, 0.2338, 0.9000) and N at (0.8466, 0.7953, 0.6054).

---

Entry 12:
Density functional theory data (PBE) for Nd2Y2Pt3 after structural relaxation.

For the formation energy, the calculation gives -23.56 kcal/mol of atoms.

The structure belongs to space group I2_13 (No. 199); the cell edges are 8.8938, 8.8938 and 8.8938 Å and the angles 90.00°, 90.00° and 90.00°. The inequivalent atoms are Nd at (0.0628, 0.0628, 0.0628), Y at (0.1885, 0.3115, 0.6885) and Pt at (0.0000, 0.2500, 0.3850).